Here is a relaxed DyUS3 crystal from Alexandria. Energies are from PBE-GGA.

Cell lengths 7.0399, 7.0399, 7.0399 Å; angles 134.96, 90.28, 106.77 degrees
Sites, in units of the cell vectors:
Dy (0.0000, 0.0000, 0.0000)
Dy (0.5000, 0.0000, 0.5000)
U (0.3084, 0.5584, 0.7500)
U (0.6916, 0.4416, 0.2500)
S (0.1142, 0.6616, 0.4526)
S (0.2911, 0.3384, 0.9526)
S (0.3560, 0.1060, 0.2500)
S (0.6440, 0.8940, 0.7500)
S (0.7089, 0.6616, 0.0474)
S (0.8858, 0.3384, 0.5474)

Output
As for the total energy: -0.5235 Ry/atom. The total magnetic moment comes out at 5.182 μB/cell. For the volume, the calculation gives 22.49 Å³/atom. The value obtained for the offset from the most stable computed form is 276 meV/atom. As for the raw formation energy: -1469 meV per atom.

=====

Here is a relaxed Dy3US6 crystal from Alexandria. Energies are from PBE-GGA.

Cell lengths 11.0481, 3.9303, 11.2796 Å; angles 90.00, 108.43, 90.00 degrees
Sites, in units of the cell vectors:
Dy (0.0685, 0.2500, 0.1671)
Dy (0.1797, 0.7500, 0.5023)
Dy (0.3401, 0.2500, 0.9173)
Dy (0.6599, 0.7500, 0.0827)
Dy (0.8203, 0.2500, 0.4977)
Dy (0.9315, 0.7500, 0.8329)
U (0.4534, 0.2500, 0.3080)
U (0.5466, 0.7500, 0.6920)
S (0.0211, 0.2500, 0.3859)
S (0.1025, 0.2500, 0.9358)
S (0.2453, 0.7500, 0.2765)
S (0.3089, 0.7500, 0.7493)
S (0.3875, 0.2500, 0.5380)
S (0.4179, 0.7500, 0.0994)
S (0.5821, 0.2500, 0.9006)
S (0.6125, 0.7500, 0.4620)
S (0.6911, 0.2500, 0.2507)
S (0.7547, 0.2500, 0.7235)
S (0.8975, 0.7500, 0.0642)
S (0.9789, 0.7500, 0.6141)

Output
As for the total energy: -0.5059 Ry/atom. The total magnetic moment comes out at 5.669 μB/cell. For the volume, the calculation gives 23.23 Å³/atom. As for the raw formation energy: -1898 meV per atom.

=====

Here is a relaxed DyUS4 crystal from Alexandria. Energies are from PBE-GGA.

Cell lengths 6.8775, 6.8775, 6.8722 Å; angles 99.13, 99.13, 34.05 degrees
Sites, in units of the cell vectors:
Dy (0.0000, 0.0000, 0.0000)
U (0.5000, 0.5000, 0.5000)
S (0.1064, 0.1064, 0.3811)
S (0.3940, 0.3940, 0.1484)
S (0.6060, 0.6060, 0.8516)
S (0.8936, 0.8936, 0.6189)

Output
As for the total energy: -0.5125 Ry/atom. The total magnetic moment comes out at 1.000 μB/cell. For the volume, the calculation gives 29.92 Å³/atom. The value obtained for the offset from the most stable computed form is 0 meV/atom. As for the raw formation energy: -1573 meV per atom.

=====

Here is a relaxed Dy2U2S7 crystal from Alexandria. Energies are from PBE-GGA.

Cell lengths 8.4545, 8.4545, 8.4545 Å; angles 153.46, 67.09, 119.65 degrees
Sites, in units of the cell vectors:
Dy (0.2415, 0.0000, 0.2415)
Dy (0.7585, 0.0000, 0.7585)
U (0.2462, 0.2462, 0.0000)
U (0.6980, 0.1980, 0.5000)
S (0.0594, 0.6917, 0.3677)
S (0.3240, 0.6917, 0.6323)
S (0.4152, 0.5230, 0.8922)
S (0.6185, 0.3019, 0.3166)
S (0.6308, 0.5230, 0.1078)
S (0.9248, 0.9248, 0.0000)
S (0.9853, 0.3019, 0.6834)

Output
As for the total energy: -0.5278 Ry/atom. The total magnetic moment comes out at 3.998 μB/cell. For the volume, the calculation gives 21.13 Å³/atom. The value obtained for the offset from the most stable computed form is 0 meV/atom. As for the raw formation energy: -1665 meV per atom.

=====

Here is a relaxed DyUS2 crystal from Alexandria. Energies are from PBE-GGA.

Cell lengths 8.7911, 8.7911, 8.7911 Å; angles 25.20, 25.20, 25.20 degrees
Sites, in units of the cell vectors:
Dy (0.0000, 0.0000, 0.0000)
U (0.5000, 0.5000, 0.5000)
S (0.3942, 0.3942, 0.3942)
S (0.6058, 0.6058, 0.6058)

Output
As for the total energy: -0.5234 Ry/atom. The total magnetic moment comes out at 3.446 μB/cell. For the volume, the calculation gives 27.11 Å³/atom. The value obtained for the offset from the most stable computed form is 547 meV/atom. As for the raw formation energy: -1084 meV per atom.

=====

Here is a relaxed Dy4U3S8 crystal from Alexandria. Energies are from PBE-GGA.

Cell lengths 7.7653, 7.7653, 7.7645 Å; angles 119.96, 119.96, 90.02 degrees
Sites, in units of the cell vectors:
Dy (0.0000, 0.0000, 0.0000)
Dy (0.0000, 0.5000, 0.0000)
Dy (0.5000, 0.0000, 0.0000)
Dy (0.5000, 0.5000, 0.5000)
U (0.0000, 0.0000, 0.5000)
U (0.0000, 0.5000, 0.5000)
U (0.5000, 0.0000, 0.5000)
S (0.2505, 0.7495, 0.5000)
S (0.2518, 0.2518, 0.9995)
S (0.2519, 0.7481, 0.0000)
S (0.2526, 0.2526, 0.5039)
S (0.7474, 0.7474, 0.4961)
S (0.7481, 0.2519, 0.0000)
S (0.7482, 0.7482, 0.0005)
S (0.7495, 0.2505, 0.5000)

Output
As for the total energy: -0.5465 Ry/atom. The total magnetic moment comes out at 7.819 μB/cell. For the volume, the calculation gives 22.09 Å³/atom. As for the raw formation energy: -1749 meV per atom.

=====

Here is a relaxed Dy3U2S8 crystal from Alexandria. Energies are from PBE-GGA.

Cell lengths 8.0340, 8.0340, 6.6262 Å; angles 107.25, 107.25, 58.63 degrees
Sites, in units of the cell vectors:
Dy (0.0000, 0.0000, 0.0000)
Dy (0.2615, 0.7385, 0.5000)
Dy (0.7385, 0.2615, 0.5000)
U (0.2618, 0.2618, 0.8365)
U (0.7382, 0.7382, 0.1635)
S (0.1052, 0.6430, 0.0848)
S (0.1167, 0.1167, 0.4274)
S (0.3570, 0.8948, 0.9152)
S (0.3890, 0.3890, 0.6097)
S (0.6110, 0.6110, 0.3903)
S (0.6430, 0.1052, 0.0848)
S (0.8833, 0.8833, 0.5726)
S (0.8948, 0.3570, 0.9152)

Output
As for the total energy: -0.5169 Ry/atom. The total magnetic moment comes out at 5.000 μB/cell. For the volume, the calculation gives 26.42 Å³/atom. As for the raw formation energy: -1695 meV per atom.

=====

Here is a relaxed DyU4S7 crystal from Alexandria. Energies are from PBE-GGA.

Cell lengths 3.9870, 3.9870, 21.2322 Å; angles 90.00, 90.00, 120.00 degrees
Sites, in units of the cell vectors:
Dy (0.0000, 0.0000, 0.0000)
U (0.3333, 0.6667, 0.2721)
U (0.3333, 0.6667, 0.4302)
U (0.6667, 0.3333, 0.5698)
U (0.6667, 0.3333, 0.7279)
S (0.0000, 0.0000, 0.2105)
S (0.0000, 0.0000, 0.5000)
S (0.0000, 0.0000, 0.7895)
S (0.3333, 0.6667, 0.6475)
S (0.3333, 0.6667, 0.9317)
S (0.6667, 0.3333, 0.0683)
S (0.6667, 0.3333, 0.3525)

Output
As for the total energy: -0.5755 Ry/atom. The total magnetic moment comes out at 10.806 μB/cell. For the volume, the calculation gives 24.36 Å³/atom. As for the raw formation energy: -1276 meV per atom.

=====

Here is a relaxed DyUS2 crystal from Alexandria. Energies are from PBE-GGA.

Cell lengths 3.7960, 3.7960, 13.4410 Å; angles 90.00, 90.00, 120.00 degrees
Sites, in units of the cell vectors:
Dy (0.3333, 0.6667, 0.2500)
Dy (0.6667, 0.3333, 0.7500)
U (0.0000, 0.0000, 0.0000)
U (0.0000, 0.0000, 0.5000)
S (0.3333, 0.6667, 0.6246)
S (0.3333, 0.6667, 0.8754)
S (0.6667, 0.3333, 0.1246)
S (0.6667, 0.3333, 0.3754)

Output
As for the total energy: -0.5636 Ry/atom. The total magnetic moment comes out at 5.513 μB/cell. For the volume, the calculation gives 20.97 Å³/atom. The value obtained for the offset from the most stable computed form is 0 meV/atom. As for the raw formation energy: -1632 meV per atom.

=====

Here is a relaxed DyUS4 crystal from Alexandria. Energies are from PBE-GGA.

Cell lengths 6.2500, 6.2500, 4.0981 Å; angles 90.00, 90.00, 91.06 degrees
Sites, in units of the cell vectors:
Dy (0.0000, 0.0000, 0.0000)
U (0.5000, 0.5000, 0.5000)
S (0.2037, 0.2037, 0.5000)
S (0.3124, 0.6876, 0.0000)
S (0.6876, 0.3124, 0.0000)
S (0.7963, 0.7963, 0.5000)

Output
As for the total energy: -0.5075 Ry/atom. The total magnetic moment comes out at 1.000 μB/cell. For the volume, the calculation gives 26.68 Å³/atom. The value obtained for the offset from the most stable computed form is 68 meV/atom. As for the raw formation energy: -1505 meV per atom.

=====

Here is a relaxed Dy2US3 crystal from Alexandria. Energies are from PBE-GGA.

Cell lengths 6.7237, 6.7237, 6.7923 Å; angles 99.49, 99.49, 120.05 degrees
Sites, in units of the cell vectors:
Dy (0.0000, 0.0000, 0.0000)
Dy (0.1648, 0.8352, 0.5000)
Dy (0.5000, 0.5000, 0.5000)
Dy (0.8352, 0.1648, 0.5000)
U (0.3337, 0.6663, 0.0000)
U (0.6663, 0.3337, 0.0000)
S (0.0838, 0.4178, 0.2511)
S (0.2507, 0.2507, 0.7500)
S (0.4178, 0.0838, 0.2511)
S (0.5822, 0.9162, 0.7489)
S (0.7493, 0.7493, 0.2500)
S (0.9162, 0.5822, 0.7489)

Output
As for the total energy: -0.5325 Ry/atom. The total magnetic moment comes out at 5.480 μB/cell. For the volume, the calculation gives 20.91 Å³/atom. As for the raw formation energy: -1765 meV per atom.

=====

Here is a relaxed Dy6US12 crystal from Alexandria. Energies are from PBE-GGA.

Cell lengths 7.8434, 7.8434, 7.8434 Å; angles 98.84, 98.84, 98.84 degrees
Sites, in units of the cell vectors:
Dy (0.1324, 0.8252, 0.6444)
Dy (0.1748, 0.3556, 0.8676)
Dy (0.3556, 0.8676, 0.1748)
Dy (0.6444, 0.1324, 0.8252)
Dy (0.8252, 0.6444, 0.1324)
Dy (0.8676, 0.1748, 0.3556)
U (0.5000, 0.5000, 0.5000)
S (0.0774, 0.9188, 0.3235)
S (0.0812, 0.6765, 0.9226)
S (0.1788, 0.4244, 0.5301)
S (0.3235, 0.0774, 0.9188)
S (0.4244, 0.5301, 0.1788)
S (0.4699, 0.8212, 0.5756)
S (0.5301, 0.1788, 0.4244)
S (0.5756, 0.4699, 0.8212)
S (0.6765, 0.9226, 0.0812)
S (0.8212, 0.5756, 0.4699)
S (0.9188, 0.3235, 0.0774)
S (0.9226, 0.0812, 0.6765)

Output
As for the total energy: -0.4787 Ry/atom. The total magnetic moment comes out at 0.000 μB/cell. For the volume, the calculation gives 24.38 Å³/atom. As for the raw formation energy: -1858 meV per atom.